Entry 1:
# KMoHCl2, optimized geometry, DFT GGA-PBE
# DOS at the Fermi energy (states/eV/atom): 0.50
# E (eV/atom): -3.672
# Total moment (Bohr magnetons per cell): 3.90
# V (A^3/atom): 36.007
data_KMoHCl2
_chemical_formula_sum 'K1 Mo1 H1 Cl2'
_cell_length_a 4.6660
_cell_length_b 4.6660
_cell_length_c 8.2692
_cell_angle_alpha 90.00
_cell_angle_beta 90.00
_cell_angle_gamma 90.00
_space_group_name_H-M_alt 'P 4/m m m'
_space_group_IT_number 123
_space_group_name_Hall '-P 4 2'
loop_
_atom_site_label
_atom_site_type_symbol
_atom_site_fract_x
_atom_site_fract_y
_atom_site_fract_z
_atom_site_occupancy
K1 K 0.0000 0.0000 0.0000 1
Mo1 Mo 0.0000 0.0000 0.5000 1
H1 H 0.5000 0.5000 0.0000 1
Cl1 Cl 0.0000 0.5000 0.5000 1

---

Entry 2:
# KH6N2Cl2, optimized geometry, DFT GGA-PBE
# E (eV/atom): -4.388
# Total moment (Bohr magnetons per cell): 2.00
# V (A^3/atom): 15.865
data_KH6N2Cl2
_chemical_formula_sum 'K2 H12 N4 Cl4'
_cell_length_a 8.6664
_cell_length_b 5.0502
_cell_length_c 8.3637
_cell_angle_alpha 90.00
_cell_angle_beta 107.54
_cell_angle_gamma 90.00
_space_group_name_H-M_alt 'C 1 2/m 1'
_space_group_IT_number 12
_space_group_name_Hall '-C 2y'
loop_
_atom_site_label
_atom_site_type_symbol
_atom_site_fract_x
_atom_site_fract_y
_atom_site_fract_z
_atom_site_occupancy
K1 K 0.0000 0.0000 0.0000 1
H1 H 0.1617 0.3291 0.6239 1
H2 H 0.1624 0.5000 0.4423 1
N1 N 0.1356 0.5000 0.5538 1
Cl1 Cl 0.2283 0.5000 0.1950 1

---

Entry 3:
# K2H2NCl2, optimized geometry, DFT GGA-PBE
# E (eV/atom): -3.740
# Total moment (Bohr magnetons per cell): 2.00
# V (A^3/atom): 20.525
data_K2H2NCl2
_chemical_formula_sum 'K4 H4 N2 Cl4'
_cell_length_a 4.0916
_cell_length_b 8.1242
_cell_length_c 8.6444
_cell_angle_alpha 90.00
_cell_angle_beta 90.00
_cell_angle_gamma 90.00
_space_group_name_H-M_alt 'I m m m'
_space_group_IT_number 71
_space_group_name_Hall '-I 2 2'
loop_
_atom_site_label
_atom_site_type_symbol
_atom_site_fract_x
_atom_site_fract_y
_atom_site_fract_z
_atom_site_occupancy
K1 K 0.0000 0.2280 0.0000 1
H1 H 0.0000 0.0000 0.3827 1
N1 N 0.0000 0.0000 0.5000 1
Cl1 Cl 0.0000 0.5000 0.2877 1

---

Entry 4:
# KH6N2Cl, optimized geometry, DFT GGA-PBE
# DOS at the Fermi energy (states/eV/atom): 0.00
# E (eV/atom): -4.616
# Total moment (Bohr magnetons per cell): 0.00
# V (A^3/atom): 12.438
data_KH6N2Cl
_chemical_formula_sum 'K4 H24 N8 Cl4'
_cell_length_a 6.4309
_cell_length_b 13.0692
_cell_length_c 6.7170
_cell_angle_alpha 90.00
_cell_angle_beta 118.20
_cell_angle_gamma 90.00
_space_group_name_H-M_alt 'C 1 2/c 1'
_space_group_IT_number 15
_space_group_name_Hall '-C 2yc'
loop_
_atom_site_label
_atom_site_type_symbol
_atom_site_fract_x
_atom_site_fract_y
_atom_site_fract_z
_atom_site_occupancy
K1 K 0.0000 0.2131 0.2500 1
H1 H 0.0445 0.0824 0.6180 1
H2 H 0.2071 0.4735 0.3349 1
H3 H 0.2086 0.3880 0.1582 1
N1 N 0.2199 0.0957 0.6718 1
Cl1 Cl 0.0000 0.3542 0.7500 1

---

Entry 5:
# KNaHCl, optimized geometry, DFT GGA-PBE
# DOS at the Fermi energy (states/eV/atom): 0.00
# E (eV/atom): -2.762
# Total moment (Bohr magnetons per cell): 0.00
# V (A^3/atom): 21.770
data_KNaHCl
_chemical_formula_sum 'K4 Na4 H4 Cl4'
_cell_length_a 7.0360
_cell_length_b 7.0360
_cell_length_c 7.0360
_cell_angle_alpha 90.00
_cell_angle_beta 90.00
_cell_angle_gamma 90.00
_space_group_name_H-M_alt 'F -4 3 m'
_space_group_IT_number 216
_space_group_name_Hall 'F -4 2 3'
loop_
_atom_site_label
_atom_site_type_symbol
_atom_site_fract_x
_atom_site_fract_y
_atom_site_fract_z
_atom_site_occupancy
K1 K 0.0000 0.0000 0.0000 1
Na1 Na 0.0000 0.0000 0.5000 1
H1 H 0.2500 0.2500 0.2500 1
Cl1 Cl 0.2500 0.2500 0.7500 1

---

Entry 6:
# KNpH2Cl8, optimized geometry, DFT GGA-PBE
# DOS at the Fermi energy (states/eV/atom): 0.66
# E (eV/atom): -4.214
# Total moment (Bohr magnetons per cell): 2.00
# V (A^3/atom): 32.948
data_KNpH2Cl8
_chemical_formula_sum 'K1 Np1 H2 Cl8'
_cell_length_a 7.0325
_cell_length_b 7.5005
_cell_length_c 7.9352
_cell_angle_alpha 71.82
_cell_angle_beta 86.86
_cell_angle_gamma 84.02
_space_group_name_H-M_alt 'P -1'
_space_group_IT_number 2
_space_group_name_Hall '-P 1'
loop_
_atom_site_label
_atom_site_type_symbol
_atom_site_fract_x
_atom_site_fract_y
_atom_site_fract_z
_atom_site_occupancy
K1 K 0.0000 0.0000 0.0000 1
Np1 Np 0.0000 0.5000 0.5000 1
H1 H 0.3059 0.3000 0.1540 1
Cl1 Cl 0.1713 0.1734 0.6015 1
Cl2 Cl 0.1788 0.5708 0.1959 1
Cl3 Cl 0.2575 0.6237 0.6213 1
Cl4 Cl 0.3734 0.1397 0.1314 1

---

Entry 7:
# K3H4Cl3O2, optimized geometry, DFT GGA-PBE
# DOS at the Fermi energy (states/eV/atom): 0.00
# E (eV/atom): -4.093
# Total moment (Bohr magnetons per cell): 0.23
# V (A^3/atom): 25.416
data_K3H4Cl3O2
_chemical_formula_sum 'K6 H8 Cl6 O4'
_cell_length_a 5.3706
_cell_length_b 19.1503
_cell_length_c 5.9309
_cell_angle_alpha 90.00
_cell_angle_beta 90.00
_cell_angle_gamma 90.00
_space_group_name_H-M_alt 'I m m 2'
_space_group_IT_number 44
_space_group_name_Hall 'I 2 -2'
loop_
_atom_site_label
_atom_site_type_symbol
_atom_site_fract_x
_atom_site_fract_y
_atom_site_fract_z
_atom_site_occupancy
K1 K 0.0000 0.0000 0.0000 1
K2 K 0.0000 0.3310 0.3789 1
H1 H 0.0000 0.1450 0.2647 1
H2 H 0.0000 0.1830 0.0344 1
Cl1 Cl 0.0000 0.2754 0.8802 1
Cl2 Cl 0.0000 0.5000 0.2751 1
O1 O 0.0000 0.1350 0.1035 1

---

Entry 8:
# KHClO2, optimized geometry, DFT GGA-PBE
# DOS at the Fermi energy (states/eV/atom): 1.28
# E (eV/atom): -2.344
# Total moment (Bohr magnetons per cell): 5.00
# V (A^3/atom): 37.942
data_KHClO2
_chemical_formula_sum 'K1 H1 Cl1 O2'
_cell_length_a 5.6088
_cell_length_b 5.6088
_cell_length_c 6.0304
_cell_angle_alpha 90.00
_cell_angle_beta 90.00
_cell_angle_gamma 90.00
_space_group_name_H-M_alt 'P 4/m m m'
_space_group_IT_number 123
_space_group_name_Hall '-P 4 2'
loop_
_atom_site_label
_atom_site_type_symbol
_atom_site_fract_x
_atom_site_fract_y
_atom_site_fract_z
_atom_site_occupancy
K1 K 0.0000 0.0000 0.0000 1
H1 H 0.5000 0.5000 0.5000 1
Cl1 Cl 0.0000 0.0000 0.5000 1
O1 O 0.0000 0.5000 0.0000 1

---

Entry 9:
# K3HPdS2Cl2O6, optimized geometry, DFT GGA-PBE
# DOS at the Fermi energy (states/eV/atom): 0.00
# E (eV/atom): -5.041
# Total moment (Bohr magnetons per cell): 0.00
# V (A^3/atom): 19.659
data_K3HPdS2Cl2O6
_chemical_formula_sum 'K12 H4 Pd4 S8 Cl8 O24'
_cell_length_a 15.3151
_cell_length_b 10.7214
_cell_length_c 7.1834
_cell_angle_alpha 90.00
_cell_angle_beta 90.00
_cell_angle_gamma 90.00
_space_group_name_H-M_alt 'C m c 21'
_space_group_IT_number 36
_space_group_name_Hall 'C 2c -2'
loop_
_atom_site_label
_atom_site_type_symbol
_atom_site_fract_x
_atom_site_fract_y
_atom_site_fract_z
_atom_site_occupancy
K1 K 0.0000 0.1198 0.0000 1
K2 K 0.2187 0.3570 0.1793 1
H1 H 0.0000 0.4830 0.7492 1
Pd1 Pd 0.0000 0.2455 0.5255 1
S1 S 0.1091 0.3483 0.6809 1
Cl1 Cl 0.1103 0.1196 0.3755 1
O1 O 0.0785 0.4794 0.7438 1
O2 O 0.1285 0.2721 0.8501 1
O3 O 0.1892 0.3687 0.5694 1

---

Entry 10:
# K3HPtS2Cl2O6, optimized geometry, DFT GGA-PBE
# DOS at the Fermi energy (states/eV/atom): 0.00
# E (eV/atom): -5.106
# Total moment (Bohr magnetons per cell): 0.09
# V (A^3/atom): 19.695
data_K3HPtS2Cl2O6
_chemical_formula_sum 'K12 H4 Pt4 S8 Cl8 O24'
_cell_length_a 15.2820
_cell_length_b 10.7597
_cell_length_c 7.1865
_cell_angle_alpha 90.00
_cell_angle_beta 90.00
_cell_angle_gamma 90.00
_space_group_name_H-M_alt 'C m c 21'
_space_group_IT_number 36
_space_group_name_Hall 'C 2c -2'
loop_
_atom_site_label
_atom_site_type_symbol
_atom_site_fract_x
_atom_site_fract_y
_atom_site_fract_z
_atom_site_occupancy
K1 K 0.0000 0.1213 0.0000 1
K2 K 0.2166 0.3572 0.8167 1
H1 H 0.0000 0.4802 0.2479 1
Pt1 Pt 0.0000 0.2442 0.4657 1
S1 S 0.1090 0.3453 0.3149 1
Cl1 Cl 0.1091 0.1197 0.6208 1
O1 O 0.0787 0.4761 0.2536 1
O2 O 0.1302 0.2714 0.1449 1
O3 O 0.1884 0.3648 0.4292 1

---

Entry 11:
# K4Re2HCl10O, optimized geometry, DFT GGA-PBE
# DOS at the Fermi energy (states/eV/atom): 0.20
# E (eV/atom): -4.272
# Total moment (Bohr magnetons per cell): 6.02
# V (A^3/atom): 26.153
data_K4Re2HCl10O
_chemical_formula_sum 'K8 Re4 H2 Cl20 O2'
_cell_length_a 7.2158
_cell_length_b 7.2158
_cell_length_c 18.0825
_cell_angle_alpha 90.00
_cell_angle_beta 90.00
_cell_angle_gamma 90.00
_space_group_name_H-M_alt 'I 4/m m m'
_space_group_IT_number 139
_space_group_name_Hall '-I 4 2'
loop_
_atom_site_label
_atom_site_type_symbol
_atom_site_fract_x
_atom_site_fract_y
_atom_site_fract_z
_atom_site_occupancy
K1 K 0.0000 0.5000 0.0000 1
K2 K 0.0000 0.5000 0.2500 1
Re1 Re 0.0000 0.0000 0.1024 1
H1 H 0.0000 0.0000 0.5000 1
Cl1 Cl 0.0000 0.0000 0.2362 1
Cl2 Cl 0.2350 0.2350 0.1100 1
O1 O 0.0000 0.0000 0.0000 1

---

Entry 12:
# KHOs2Cl, optimized geometry, DFT GGA-PBE
# DOS at the Fermi energy (states/eV/atom): 0.86
# E (eV/atom): -4.043
# Total moment (Bohr magnetons per cell): 2.46
# V (A^3/atom): 24.235
data_KHOs2Cl
_chemical_formula_sum 'K1 H1 Os2 Cl1'
_cell_length_a 4.3119
_cell_length_b 4.3119
_cell_length_c 6.5176
_cell_angle_alpha 90.00
_cell_angle_beta 90.00
_cell_angle_gamma 90.00
_space_group_name_H-M_alt 'P 4/m m m'
_space_group_IT_number 123
_space_group_name_Hall '-P 4 2'
loop_
_atom_site_label
_atom_site_type_symbol
_atom_site_fract_x
_atom_site_fract_y
_atom_site_fract_z
_atom_site_occupancy
K1 K 0.0000 0.0000 0.0000 1
H1 H 0.5000 0.5000 0.0000 1
Os1 Os 0.0000 0.5000 0.5000 1
Cl1 Cl 0.0000 0.0000 0.5000 1